Record 1
SbAuIN2 (PBE, optimized geometry); ΔE_f (raw) = 1.76 eV per atom; electronic total energy = -3.36 eV/atom; total magnetic moment = 3.2 μB/cell; crystal system = tetragonal; E above lowest polymorph = 50.6 kJ/mol of atoms
1.0
4.2020 0.0000 0.0000
0.0000 4.2020 0.0000
0.0000 0.0000 7.5184
Sb Au I N
1 1 1 2
Direct
0.0000 0.0000 0.0000
0.5000 0.5000 0.5000
0.5000 0.5000 0.0000
0.0000 0.5000 0.5000
0.5000 0.0000 0.5000



Record 2
SbAuI2N (PBE, optimized geometry); ΔE_f (raw) = 1.59 eV per atom; electronic total energy = -2.17 eV/atom; total magnetic moment = 0.7 μB/cell; crystal system = tetragonal; E above lowest polymorph = 72.6 kJ/mol of atoms
1.0
5.5627 0.0000 0.0000
0.0000 5.5627 0.0000
0.0000 0.0000 5.4849
Sb Au I N
1 1 2 1
Direct
0.0000 0.0000 0.0000
0.0000 0.0000 0.5000
0.0000 0.5000 0.5000
0.5000 0.0000 0.5000
0.5000 0.5000 0.0000



Record 3
SbAuIN2 (PBE, optimized geometry); ΔE_f (raw) = 1.24 eV per atom; electronic total energy = -3.88 eV/atom; total magnetic moment = 1.1 μB/cell; crystal system = tetragonal; E above lowest polymorph = 0.0 kJ/mol of atoms
1.0
4.0458 0.0000 0.0000
0.0000 4.0458 0.0000
0.0000 0.0000 7.5897
Sb Au I N
1 1 1 2
Direct
0.0000 0.0000 0.0000
0.5000 0.5000 0.5000
0.0000 0.0000 0.5000
0.0000 0.5000 0.0000
0.5000 0.0000 0.0000



Record 4
SbAuI2N (PBE, optimized geometry); ΔE_f (raw) = 0.84 eV per atom; electronic total energy = -2.93 eV/atom; total magnetic moment = 0.0 μB/cell; crystal system = tetragonal; E above lowest polymorph = 0.0 kJ/mol of atoms
1.0
6.0965 0.0000 0.0000
0.0000 6.0965 0.0000
0.0000 0.0000 3.9428
Sb Au I N
1 1 2 1
Direct
0.0000 0.0000 0.0000
0.5000 0.5000 0.5000
0.0000 0.5000 0.0000
0.5000 0.0000 0.0000
0.0000 0.0000 0.5000



no.,DOS at the Fermi energy (states/eV per cell)
1,3.00
2,7.72
3,2.80
4,1.69